<A>
The following is a DFT calculation (PBE) of Tb3Pr2Sm6 after structural relaxation.

Values from the calculation:
total magnetic moment: 0.00 Bohr magnetons per cell

Cell: 6.216 6.224 11.856 Å, 84.90 79.74 60.04°
Fractional coordinates of all 11 atoms:
Tb (0.000, 0.000, 0.000)
Tb (0.335, 0.330, 0.000)
Tb (0.665, 0.670, 0.000)
Pr (0.167, 0.667, 0.500)
Pr (0.833, 0.333, 0.500)
Sm (0.416, 0.667, 0.752)
Sm (0.749, 0.000, 0.753)
Sm (0.083, 0.333, 0.752)
Sm (0.251, 0.000, 0.247)
Sm (0.584, 0.333, 0.248)
Sm (0.917, 0.667, 0.248)


<B>
The following is a DFT calculation (PBE) of Tb3Pr2Sm6 after structural relaxation.

Values from the calculation:
total magnetic moment: 0.00 Bohr magnetons per cell

Cell: 4.801 4.801 17.315 Å, 97.97 97.97 90.00°
Fractional coordinates of all 11 atoms:
Tb (0.000, 0.000, 0.000)
Tb (0.800, 0.800, 0.599)
Tb (0.200, 0.200, 0.401)
Pr (0.454, 0.454, 0.908)
Pr (0.546, 0.546, 0.092)
Sm (0.122, 0.622, 0.245)
Sm (0.622, 0.122, 0.245)
Sm (0.878, 0.378, 0.755)
Sm (0.378, 0.878, 0.755)
Sm (0.699, 0.699, 0.397)
Sm (0.301, 0.301, 0.603)


Least stable of them? <B>.


<A>
The following is a DFT calculation (PBE) of Tb2PrSm4 after structural relaxation.

Values from the calculation:
total magnetic moment: 0.00 Bohr magnetons per cell

Cell: 6.174 6.670 11.860 Å, 90.00 106.09 90.00°
Fractional coordinates of all 14 atoms:
Tb (0.600, 0.750, 0.001)
Tb (0.400, 0.250, 0.999)
Tb (0.294, 0.250, 0.443)
Tb (0.706, 0.750, 0.557)
Pr (0.167, 0.750, 0.147)
Pr (0.833, 0.250, 0.853)
Sm (0.644, 0.495, 0.288)
Sm (0.996, 0.750, 0.845)
Sm (0.004, 0.250, 0.155)
Sm (0.644, 0.005, 0.288)
Sm (0.856, 0.250, 0.566)
Sm (0.356, 0.995, 0.712)
Sm (0.356, 0.505, 0.712)
Sm (0.144, 0.750, 0.434)


<B>
The following is a DFT calculation (PBE) of Tb2PrSm4 after structural relaxation.

Values from the calculation:
total magnetic moment: 0.00 Bohr magnetons per cell

Cell: 3.572 5.803 12.050 Å, 103.95 98.52 90.00°
Fractional coordinates of all 7 atoms:
Tb (0.275, 0.275, 0.549)
Tb (0.725, 0.725, 0.451)
Pr (0.000, 0.000, 0.000)
Sm (0.088, 0.588, 0.175)
Sm (0.912, 0.412, 0.825)
Sm (0.362, 0.862, 0.724)
Sm (0.638, 0.138, 0.276)


Least stable of them? <A>.


<A>
The following is a DFT calculation (PBE) of TbPr2Sm3 after structural relaxation.

Values from the calculation:
total magnetic moment: 0.00 Bohr magnetons per cell

Cell: 3.437 6.802 17.900 Å, 90.00 90.00 90.00°
Fractional coordinates of all 12 atoms:
Tb (0.000, 0.000, 0.500)
Tb (0.500, 0.500, 0.000)
Pr (0.500, 0.764, 0.152)
Pr (0.000, 0.264, 0.348)
Pr (0.000, 0.736, 0.652)
Pr (0.500, 0.236, 0.848)
Sm (0.000, 0.000, 0.000)
Sm (0.500, 0.500, 0.500)
Sm (0.500, 0.742, 0.823)
Sm (0.500, 0.258, 0.177)
Sm (0.000, 0.242, 0.677)
Sm (0.000, 0.758, 0.323)


<B>
The following is a DFT calculation (PBE) of TbPr2Sm3 after structural relaxation.

Values from the calculation:
total magnetic moment: 0.00 Bohr magnetons per cell

Cell: 6.340 6.340 11.801 Å, 90.00 90.00 120.00°
Fractional coordinates of all 12 atoms:
Tb (0.000, 0.000, 0.000)
Tb (0.000, 0.000, 0.500)
Pr (0.667, 0.333, 0.000)
Pr (0.333, 0.667, 0.500)
Pr (0.333, 0.667, 0.000)
Pr (0.667, 0.333, 0.500)
Sm (0.670, 0.670, 0.750)
Sm (0.000, 0.330, 0.750)
Sm (0.330, 0.000, 0.750)
Sm (0.330, 0.330, 0.250)
Sm (0.000, 0.670, 0.250)
Sm (0.670, 0.000, 0.250)


Least stable of them? <A>.